1.
DFT (GGA-PBE) results for LiInSnS4 after structural relaxation.

## Properties
Space-group type: Imma
Final energy (eV per atom): -4.289

a = 7.6287 Å, b = 7.6287 Å, c = 7.6287 Å
α = 120.19°, β = 119.93°, γ = 89.90°
Element x y z (fractional)
Li (0.3666, 0.1166, 0.2500)
Li (0.6334, 0.8834, 0.7500)
In (0.0000, 0.5000, 0.5000)
In (0.5000, 0.5000, 0.0000)
Sn (0.0000, 0.0000, 0.5000)
Sn (0.0000, 0.5000, 0.0000)
S (0.2322, 0.7473, 0.4849)
S (0.2381, 0.2504, 0.5124)
S (0.2377, 0.2527, 0.9849)
S (0.2381, 0.7257, 0.9876)
S (0.7619, 0.2743, 0.0124)
S (0.7623, 0.7473, 0.0151)
S (0.7619, 0.7496, 0.4876)
S (0.7678, 0.2527, 0.5151)



2.
DFT (GGA-PBE) results for LiIn4SnS8 after structural relaxation.

## Properties
Space-group type: R3m
Final energy (eV per atom): -4.172

a = 7.7311 Å, b = 7.7311 Å, c = 7.7311 Å
α = 60.49°, β = 60.49°, γ = 60.49°
Element x y z (fractional)
Li (0.0000, 0.0000, 0.0000)
In (0.1092, 0.6317, 0.6317)
In (0.2488, 0.2488, 0.2488)
In (0.6317, 0.1092, 0.6317)
In (0.6317, 0.6317, 0.1092)
Sn (0.6320, 0.6320, 0.6320)
S (0.3832, 0.3832, 0.8495)
S (0.3832, 0.8495, 0.3832)
S (0.3853, 0.3853, 0.3853)
S (0.3923, 0.8714, 0.8714)
S (0.8495, 0.3832, 0.3832)
S (0.8694, 0.8694, 0.8694)
S (0.8714, 0.3923, 0.8714)
S (0.8714, 0.8714, 0.3923)



3.
DFT (GGA-PBE) results for Sr2LiInS4 after structural relaxation.

## Properties
Space-group type: Imma
Final energy (eV per atom): -4.485

a = 8.0380 Å, b = 8.0380 Å, c = 8.0380 Å
α = 119.30°, β = 118.31°, γ = 92.08°
Element x y z (fractional)
Sr (0.0000, 0.0000, 0.0000)
Sr (0.5000, 0.0000, 0.0000)
Sr (0.5000, 0.0000, 0.5000)
Sr (0.5000, 0.5000, 0.5000)
Li (0.0000, 0.5000, 0.5000)
Li (0.5000, 0.5000, 0.0000)
In (0.0000, 0.0000, 0.5000)
In (0.0000, 0.5000, 0.0000)
S (0.2208, 0.7378, 0.4830)
S (0.2332, 0.2442, 0.5111)
S (0.2332, 0.7221, 0.9889)
S (0.2453, 0.2622, 0.9830)
S (0.7547, 0.7378, 0.0170)
S (0.7668, 0.2779, 0.0111)
S (0.7668, 0.7558, 0.4889)
S (0.7792, 0.2622, 0.5170)



4.
DFT (GGA-PBE) results for SrLiIn2S4 after structural relaxation.

## Properties
Space-group type: I-42m
Final energy (eV per atom): -4.163

a = 6.3051 Å, b = 6.3051 Å, c = 11.1476 Å
α = 90.00°, β = 90.00°, γ = 90.00°
Element x y z (fractional)
Sr (0.0000, 0.0000, 0.0000)
Sr (0.5000, 0.5000, 0.5000)
Li (0.0000, 0.0000, 0.5000)
Li (0.5000, 0.5000, 0.0000)
In (0.0000, 0.5000, 0.2500)
In (0.0000, 0.5000, 0.7500)
In (0.5000, 0.0000, 0.2500)
In (0.5000, 0.0000, 0.7500)
S (0.2230, 0.2230, 0.6327)
S (0.2230, 0.7770, 0.3673)
S (0.2770, 0.2770, 0.1327)
S (0.2770, 0.7230, 0.8673)
S (0.7230, 0.2770, 0.8673)
S (0.7230, 0.7230, 0.1327)
S (0.7770, 0.2230, 0.3673)
S (0.7770, 0.7770, 0.6327)



5.
DFT (GGA-PBE) results for LiTbIn4S8 after structural relaxation.

## Properties
Space-group type: R3m
Final energy (eV per atom): -4.513

a = 7.7903 Å, b = 7.7903 Å, c = 7.7903 Å
α = 59.84°, β = 59.84°, γ = 59.84°
Element x y z (fractional)
Li (0.0000, 0.0000, 0.0000)
Tb (0.6327, 0.6327, 0.6327)
In (0.1045, 0.6303, 0.6303)
In (0.2471, 0.2471, 0.2471)
In (0.6303, 0.1045, 0.6303)
In (0.6303, 0.6303, 0.1045)
S (0.3798, 0.3798, 0.8498)
S (0.3798, 0.8498, 0.3798)
S (0.3832, 0.3832, 0.3832)
S (0.3851, 0.8768, 0.8768)
S (0.8498, 0.3798, 0.3798)
S (0.8673, 0.8673, 0.8673)
S (0.8768, 0.3851, 0.8768)
S (0.8768, 0.8768, 0.3851)



6.
DFT (GGA-PBE) results for Li3Tb3InS8 after structural relaxation.

## Properties
Space-group type: R-3m
Final energy (eV per atom): -5.172

a = 7.5759 Å, b = 7.5759 Å, c = 7.5759 Å
α = 62.37°, β = 62.37°, γ = 62.37°
Element x y z (fractional)
Li (0.0000, 0.5000, 0.5000)
Li (0.5000, 0.0000, 0.5000)
Li (0.5000, 0.5000, 0.0000)
Tb (0.0000, 0.0000, 0.5000)
Tb (0.0000, 0.5000, 0.0000)
Tb (0.5000, 0.0000, 0.0000)
In (0.5000, 0.5000, 0.5000)
S (0.2507, 0.2507, 0.2507)
S (0.2558, 0.2558, 0.7380)
S (0.2558, 0.7380, 0.2558)
S (0.2620, 0.7442, 0.7442)
S (0.7380, 0.2558, 0.2558)
S (0.7442, 0.2620, 0.7442)
S (0.7442, 0.7442, 0.2620)
S (0.7493, 0.7493, 0.7493)



7.
DFT (GGA-PBE) results for Li2TbInS4 after structural relaxation.

## Properties
Space-group type: P2/m
Final energy (eV per atom): -4.800

a = 6.6054 Å, b = 3.8586 Å, c = 6.6323 Å
α = 90.00°, β = 109.62°, γ = 90.00°
Element x y z (fractional)
Li (0.0000, 0.0000, 0.0000)
Li (0.0000, 0.5000, 0.5000)
Tb (0.5000, 0.0000, 0.5000)
In (0.5000, 0.5000, 0.0000)
S (0.2455, 0.5000, 0.2469)
S (0.2537, 0.0000, 0.7638)
S (0.7463, 0.0000, 0.2362)
S (0.7545, 0.5000, 0.7531)



8.
DFT (GGA-PBE) results for LiTl2In2S4 after structural relaxation.

## Properties
Space-group type: C2/m
Final energy (eV per atom): -3.695

a = 7.0953 Å, b = 7.0953 Å, c = 7.5333 Å
α = 110.67°, β = 110.67°, γ = 40.85°
Element x y z (fractional)
Li (0.0000, 0.0000, 0.0000)
Tl (0.1303, 0.1303, 0.4956)
Tl (0.8697, 0.8697, 0.5044)
In (0.3483, 0.3483, 0.9662)
In (0.6517, 0.6517, 0.0338)
S (0.2058, 0.2058, 0.1471)
S (0.4711, 0.4711, 0.7488)
S (0.5289, 0.5289, 0.2512)
S (0.7942, 0.7942, 0.8529)